Record 1
PBE-GGA Pr3Sm2Si4, optimized geometry; symmetry = P2_1/c (14); raw formation energy = -0.650 eV per atom; mass density = 5.86 g/cm3
1.0
7.855 0.000 0.000
0.000 7.913 0.000
-1.919 0.000 7.621
Pr Sm Si
6 4 8
Cartesian
0.000 0.000 0.000
-0.959 3.956 3.811
0.639 1.449 5.672
1.598 2.507 1.862
4.338 5.405 5.760
5.297 6.464 1.949
0.559 5.456 6.798
1.518 6.413 2.988
4.418 1.500 4.634
5.377 2.457 0.823
-0.161 4.860 0.865
-1.120 7.010 4.676
3.039 0.161 0.805
2.080 3.795 4.616
3.856 4.117 3.006
2.897 7.752 6.816
7.056 0.903 2.946
6.097 3.053 6.756

=====

Record 2
PBE-GGA Pr2SmSi, optimized geometry; symmetry = R-3m (166); raw formation energy = 0.053 eV per atom; mass density = 5.63 g/cm3; excess energy over the best structure of this formula in the dataset = 0.296 eV/atom
1.0
1.883 1.087 11.045
-1.883 1.087 11.045
0.000 -2.174 11.045
Pr Sm Si
2 1 1
Cartesian
0.000 0.000 3.577
0.000 0.000 29.559
0.000 0.000 0.000
0.000 0.000 16.568

=====

Record 3
PBE-GGA PrSmSi4, optimized geometry; symmetry = F-43m (216); raw formation energy = -0.286 eV per atom; mass density = 5.86 g/cm3; excess energy over the best structure of this formula in the dataset = 0.302 eV/atom
1.0
0.000 3.852 3.852
3.852 0.000 3.852
3.852 3.852 0.000
Pr Sm Si
1 1 4
Cartesian
0.000 0.000 0.000
5.778 5.778 5.778
2.902 2.902 2.902
4.802 4.802 2.902
4.802 2.902 4.802
2.902 4.802 4.802

=====

Record 4
PBE-GGA Pr2SmSi4, optimized geometry; symmetry = Immm (71); raw formation energy = -0.705 eV per atom; mass density = 5.71 g/cm3
1.0
-1.982 2.217 9.006
1.982 -2.217 9.006
1.982 2.217 -9.006
Pr Sm Si
2 1 4
Cartesian
0.000 0.000 3.272
0.000 0.000 14.739
1.982 0.000 0.000
0.000 0.000 6.419
1.982 0.000 7.834
0.000 2.217 1.172
0.000 0.000 11.593

=====

Record 5
PBE-GGA PrSmSi4, optimized geometry; symmetry = I-4m2 (119); raw formation energy = -0.588 eV per atom; mass density = 5.39 g/cm3; excess energy over the best structure of this formula in the dataset = 0.000 eV/atom
1.0
-2.135 2.135 6.815
2.135 -2.135 6.815
2.135 2.135 -6.815
Pr Sm Si
1 1 4
Cartesian
0.000 0.000 0.000
2.135 0.000 3.407
0.000 0.000 5.640
0.000 0.000 7.990
0.000 2.135 2.250
0.000 2.135 4.565

=====

Record 6
PBE-GGA PrSmSi3, optimized geometry; symmetry = Cmcm (63); raw formation energy = -0.696 eV per atom; mass density = 5.74 g/cm3
1.0
2.175 -12.450 0.000
2.175 12.450 0.000
0.000 0.000 4.010
Pr Sm Si
2 2 6
Cartesian
2.175 10.717 3.008
2.175 -10.717 1.003
2.175 7.416 1.003
2.175 -7.416 3.008
2.175 4.398 1.003
2.175 2.976 3.008
2.175 0.618 3.008
2.175 -0.618 1.003
2.175 -2.976 1.003
2.175 -4.398 3.008

=====

Record 7
PBE-GGA PrSm2Si4, optimized geometry; symmetry = Immm (71); raw formation energy = -0.748 eV per atom; mass density = 5.94 g/cm3
1.0
-1.969 2.205 8.912
1.969 -2.205 8.912
1.969 2.205 -8.912
Pr Sm Si
1 2 4
Cartesian
0.000 0.000 0.000
1.969 0.000 3.249
0.000 2.205 5.663
1.969 0.000 6.279
0.000 0.000 7.726
0.000 0.000 10.098
0.000 2.205 2.633

=====

Record 8
PBE-GGA PrSm3Si2, optimized geometry; symmetry = C2/m (12); raw formation energy = -0.476 eV per atom; mass density = 6.54 g/cm3
1.0
8.709 -2.218 0.000
8.709 2.218 0.000
-3.843 0.000 8.515
Pr Sm Si
2 6 4
Cartesian
1.510 0.000 1.136
12.066 0.000 7.379
-1.861 0.000 5.938
4.943 0.000 0.983
4.047 0.000 4.469
9.528 0.000 4.046
8.632 0.000 7.532
15.437 0.000 2.577
1.354 0.000 6.055
8.066 0.000 1.058
5.510 0.000 7.457
12.221 0.000 2.461

=====

Record 9
PBE-GGA PrSm2Zn2Si2, optimized geometry; symmetry = R-3m (166); raw formation energy = -0.468 eV per atom; mass density = 6.13 g/cm3
1.0
2.064 1.191 11.545
-2.064 1.191 11.545
0.000 -2.383 11.545
Pr Sm Zn Si
1 2 2 2
Cartesian
0.000 0.000 0.000
0.000 0.000 4.224
0.000 0.000 30.411
0.000 0.000 13.703
0.000 0.000 20.932
0.000 0.000 9.342
0.000 0.000 25.293

=====

Record 10
PBE-GGA Pr12Si3Sn5, optimized geometry; symmetry = Ia-3d (230); raw formation energy = -0.144 eV per atom; mass density = 5.28 g/cm3
1.0
-9.064 9.064 9.064
9.064 -9.064 9.064
9.064 9.064 -9.064
Pr Si Sn
48 12 20
Cartesian
2.770 -0.260 1.365
10.825 5.897 -4.792
8.803 -1.365 2.770
13.855 -1.762 3.167
11.834 0.260 1.365
10.825 -3.167 4.792
1.365 2.770 -0.260
12.230 4.272 -1.762
5.897 4.792 -1.762
7.699 2.770 0.260
-0.260 1.365 2.770
4.792 -1.762 5.897
8.803 7.699 -2.770
4.792 1.762 3.167
7.699 -2.770 8.803
5.897 -4.792 10.825
3.167 4.792 1.762
10.429 6.293 0.260
2.770 8.803 -1.365
10.825 3.167 4.272
4.792 10.825 -3.167
8.803 1.365 6.293
1.762 3.167 4.792
2.770 0.260 7.699
6.293 8.803 1.365
7.302 5.897 4.272
0.260 7.699 2.770
4.272 -1.762 12.230
-1.762 5.897 4.792
6.293 0.260 10.429
-1.365 2.770 8.803
5.897 4.272 7.302
3.167 13.855 -1.762
1.365 11.834 0.260
4.272 7.302 5.897
0.260 1.365 11.834
4.272 10.825 3.167
9.324 7.699 6.293
1.365 6.293 8.803
3.167 4.272 10.825
-3.167 4.792 10.825
7.699 6.293 9.324
-1.762 12.230 4.272
-2.770 8.803 7.699
-4.792 10.825 5.897
0.260 10.429 6.293
-1.762 3.167 13.855
6.293 9.324 7.699
4.532 2.266 0.000
9.064 4.532 -2.266
2.266 0.000 4.532
11.329 0.000 4.532
0.000 4.532 2.266
4.532 -2.266 9.064
4.532 11.329 0.000
9.064 4.532 6.798
-2.266 9.064 4.532
6.798 9.064 4.532
0.000 4.532 11.329
4.532 6.798 9.064
0.000 0.000 0.000
4.532 4.532 -4.532
4.532 -4.532 4.532
9.064 0.000 0.000
13.595 2.266 0.000
9.064 -4.532 6.798
6.798 9.064 -4.532
6.798 0.000 4.532
4.532 6.798 0.000
9.064 4.532 2.266
-4.532 4.532 4.532
0.000 9.064 0.000
0.000 0.000 9.064
4.532 4.532 4.532
0.000 4.532 6.798
4.532 2.266 9.064
2.266 9.064 4.532
2.266 0.000 13.595
0.000 13.595 2.266
-4.532 6.798 9.064

=====

Record 11
PBE-GGA PrSiSn, optimized geometry; symmetry = P3m1 (156); raw formation energy = -0.391 eV per atom; mass density = 6.22 g/cm3
1.0
4.638 0.000 0.000
-2.319 4.017 0.000
0.000 0.000 4.121
Pr Si Sn
1 1 1
Cartesian
0.000 0.000 0.000
0.000 2.678 2.098
2.319 1.339 2.040

=====

Record 12
PBE-GGA PrSiSn, optimized geometry; symmetry = Cmcm (63); raw formation energy = -0.572 eV per atom; mass density = 6.18 g/cm3
1.0
2.185 -8.880 0.000
2.185 8.880 0.000
0.000 0.000 3.985
Pr Si Sn
2 2 2
Cartesian
2.185 7.189 2.988
2.185 -7.189 0.996
2.185 0.714 2.988
2.185 -0.714 0.996
2.185 4.206 0.996
2.185 -4.206 2.988

=====

Record 13
PBE-GGA PrSiSn, optimized geometry; symmetry = Cmcm (63); raw formation energy = -0.566 eV per atom; mass density = 6.37 g/cm3
1.0
2.140 -9.007 0.000
2.140 9.007 0.000
0.000 0.000 3.894
Pr Si Sn
2 2 2
Cartesian
2.140 7.300 2.920
2.140 -7.300 0.973
2.140 0.701 2.920
2.140 -0.701 0.973
2.140 3.774 2.920
2.140 -3.774 0.973

=====

Record 14
PBE-GGA PrSiSn, optimized geometry; symmetry = I4mm (107); raw formation energy = -0.215 eV per atom; mass density = 5.75 g/cm3
1.0
-2.192 2.192 4.326
2.192 -2.192 4.326
2.192 2.192 -4.326
Pr Si Sn
1 1 1
Cartesian
0.000 0.000 0.000
0.000 0.000 3.035
0.000 0.000 5.569

=====

Record 15
PBE-GGA Pr3Si2Sn2, optimized geometry; symmetry = Immm (71); raw formation energy = -0.660 eV per atom; mass density = 6.39 g/cm3
1.0
-2.168 2.275 9.434
2.168 -2.275 9.434
2.168 2.275 -9.434
Pr Si Sn
3 2 2
Cartesian
0.000 0.000 0.000
2.168 0.000 3.339
0.000 2.275 6.096
0.000 0.000 8.273
0.000 0.000 10.595
2.168 0.000 6.604
0.000 2.275 2.830

=====

Record 16
PBE-GGA Pr3SiSn, optimized geometry; symmetry = P6_3/mmc (194); raw formation energy = -0.492 eV per atom; mass density = 6.21 g/cm3
1.0
7.717 0.000 0.000
-3.859 6.683 0.000
0.000 0.000 5.901
Pr Si Sn
6 2 2
Cartesian
0.000 2.464 1.475
-1.725 5.451 1.475
2.134 1.232 4.426
1.725 5.451 1.475
5.583 1.232 4.426
3.859 4.219 4.426
0.000 0.000 0.000
0.000 0.000 2.951
0.000 4.456 4.426
3.859 2.228 1.475

=====

Record 17
PBE-GGA Pr5Si2Sn, optimized geometry; symmetry = I4/mcm (140); raw formation energy = -0.630 eV per atom; mass density = 6.27 g/cm3
1.0
-3.997 3.997 7.287
3.997 -3.997 7.287
3.997 3.997 -7.287
Pr Si Sn
10 4 2
Cartesian
0.000 0.000 0.000
5.394 1.397 -2.031
1.397 2.600 -2.031
5.394 1.397 2.031
1.397 2.600 2.031
0.000 0.000 7.287
2.600 1.397 5.257
-1.397 2.600 5.257
2.600 1.397 9.318
-1.397 2.600 9.318
3.062 0.935 0.000
3.062 -0.935 7.287
0.935 4.932 0.000
0.935 3.062 7.287
0.000 0.000 3.644
0.000 0.000 10.931

=====

Record 18
PBE-GGA Pr2SiSn, optimized geometry; symmetry = P2_1/m (11); raw formation energy = -0.726 eV per atom; mass density = 6.39 g/cm3
1.0
6.206 0.000 0.000
0.000 4.182 0.000
-2.673 0.000 8.585
Pr Si Sn
4 2 2
Cartesian
0.075 1.046 3.614
1.559 3.137 0.522
1.974 1.046 8.063
3.458 3.137 4.971
-1.338 1.046 6.804
4.871 3.137 1.781
0.410 3.137 6.104
3.123 1.046 2.482

=====

Record 19
PBE-GGA Pr12Si5Sn, optimized geometry; symmetry = Immm (71); raw formation energy = -0.521 eV per atom; mass density = 6.12 g/cm3
1.0
-4.911 5.033 5.349
4.911 -5.033 5.349
4.911 5.033 -5.349
Pr Si Sn
12 5 1
Cartesian
4.911 3.032 -2.888
2.668 1.841 0.000
7.153 1.841 0.000
2.024 5.033 -1.926
2.886 0.000 3.423
0.000 2.001 2.461
4.911 3.032 2.888
2.024 5.033 1.926
2.886 0.000 7.274
-2.242 3.192 5.349
2.242 3.192 5.349
0.000 2.001 8.236
0.000 0.000 0.000
4.911 0.000 1.192
0.000 3.813 0.000
0.000 6.252 0.000
0.000 5.033 4.157
0.000 0.000 5.349

=====

Record 20
PBE-GGA Pr6SiSn2Te3, optimized geometry; symmetry = C2/m (12); raw formation energy = -1.117 eV per atom; mass density = 6.32 g/cm3
1.0
9.885 -2.246 0.000
9.885 2.246 0.000
-2.195 0.000 8.839
Pr Si Sn Te
6 1 2 3
Cartesian
-0.486 0.000 2.031
5.649 0.000 3.718
4.743 0.000 8.101
12.832 0.000 0.738
11.927 0.000 5.121
18.062 0.000 6.808
9.885 0.000 0.000
2.557 0.000 2.942
15.018 0.000 5.897
1.496 0.000 7.380
8.788 0.000 4.420
16.079 0.000 1.460

=====

Spin magnetization / μB per cell: 0.00, 0.38, 0.00, 0.00, 0.00, 0.00, 0.00, 0.00, 0.38, 0.00, 0.00, 0.00, 0.00, 0.00, 0.00, 0.00, 1.59, 0.00, 0.00, 0.00